Record 1
A plane-wave DFT calculation with PBE was carried out for crystalline Zr6ZnPb at its relaxed geometry.

Cell lengths 4.4435, 4.4435, 8.8492 Å; angles 90.00, 90.00, 90.00 degrees
Fractional coordinates of all 8 atoms:
Zr 0.0000 0.0000 0.0000
Zr 0.0000 0.0000 0.5000
Zr 0.0000 0.5000 0.2398
Zr 0.0000 0.5000 0.7602
Zr 0.5000 0.0000 0.2398
Zr 0.5000 0.0000 0.7602
Zn 0.5000 0.5000 0.0000
Pb 0.5000 0.5000 0.5000

Properties
Electronic total energy (eV/cell): -57.440
Volume (A^3/atom): 21.8
Calculated density (g/cm³): 7.8
Spin magnetization (μB/f.u.): 0.00
N(E_F) (states/eV per atom): 1.04


Record 2
A plane-wave DFT calculation with PBE was carried out for crystalline ZrZn2Pb at its relaxed geometry.

Cell lengths 3.1953, 5.1511, 10.3421 Å; angles 90.00, 90.00, 90.00 degrees
Fractional coordinates of all 8 atoms:
Zr 0.0000 0.0000 0.0000
Zr 0.5000 0.5000 0.5000
Zn 0.0000 0.5000 0.2619
Zn 0.0000 0.5000 0.7381
Zn 0.5000 0.0000 0.2381
Zn 0.5000 0.0000 0.7619
Pb 0.0000 0.0000 0.5000
Pb 0.5000 0.5000 0.0000

Properties
Electronic total energy (eV/cell): -29.339
Volume (A^3/atom): 21.3
Calculated density (g/cm³): 8.4
Spin magnetization (μB/f.u.): 0.00
N(E_F) (states/eV per atom): 0.74


Record 3
A plane-wave DFT calculation with PBE was carried out for crystalline ZrZnPb at its relaxed geometry.

Cell lengths 3.2669, 3.2669, 7.4895 Å; angles 90.00, 90.00, 120.00 degrees
Fractional coordinates of all 3 atoms:
Zr 0.0000 0.0000 0.0000
Zn 0.3333 0.6667 0.6954
Pb 0.6667 0.3333 0.3555

Properties
Electronic total energy (eV/cell): -13.293
Volume (A^3/atom): 23.1
Calculated density (g/cm³): 8.7
Spin magnetization (μB/f.u.): 0.00
N(E_F) (states/eV per atom): 0.82


Record 4
A plane-wave DFT calculation with PBE was carried out for crystalline Zr13Pb3 at its relaxed geometry.

Cell lengths 8.6248, 6.5911, 6.5911 Å; angles 87.99, 90.00, 90.00 degrees
Fractional coordinates of all 16 atoms:
Zr 0.0000 0.0000 0.0000
Zr 0.0000 0.0076 0.5086
Zr 0.0000 0.5086 0.0076
Zr 0.0000 0.5170 0.5170
Zr 0.2467 0.7523 0.7523
Zr 0.2535 0.2510 0.7650
Zr 0.2535 0.7650 0.2510
Zr 0.5000 0.0127 0.4979
Zr 0.5000 0.4979 0.0127
Zr 0.5000 0.5084 0.5084
Zr 0.7465 0.2510 0.7650
Zr 0.7465 0.7650 0.2510
Zr 0.7533 0.7523 0.7523
Pb 0.2437 0.2694 0.2694
Pb 0.5000 0.9839 0.9839
Pb 0.7563 0.2694 0.2694

Properties
Electronic total energy (eV/cell): -123.600
Volume (A^3/atom): 23.4
Calculated density (g/cm³): 8.0
Spin magnetization (μB/f.u.): 0.00
N(E_F) (states/eV per atom): 1.08


Q: Which value of spin magnetization does entry 3 give?
A: 0.00 μB/f.u.